<a>
## Hg2SeO (PBE)

Data for Hg2SeO after structural relaxation.

- calculated volume (Å³ per atom) = 23.63
- SG = Pmn2_1, No. 31
- density of states at the Fermi level (states/eV per atom) = 0.099

a = 4.0513 Å, b = 5.7601 Å, c = 8.1025 Å
α = 90.00°, β = 90.00°, γ = 90.00°
With the nearest neighbours (Å) after each atom.
Fractional positions:
Hg: 0.7011 0.5377 0.2446  1 O 2.30
Hg: 0.7009 0.6725 0.6998  3 O 2.33-2.36
Hg: 0.2010 0.1725 0.5162  3 O 2.33-2.36
Hg: 0.2010 0.0377 0.9713  1 O 2.30
Se: 0.2010 0.8522 0.2658  4 Hg 2.61-2.74
Se: 0.7010 0.3523 0.9501  4 Hg 2.61-2.74
O: 0.2009 0.8709 0.7134  4 Hg 2.30-2.36
O: 0.7010 0.3709 0.5026  4 Hg 2.30-2.36

***

<b>
## Hg2SeO (PBE)

Data for Hg2SeO after structural relaxation.

- calculated volume (Å³ per atom) = 23.93
- SG = I-42d, No. 122
- density of states at the Fermi level (states/eV per atom) = 0.059

a = 5.7834 Å, b = 5.7834 Å, c = 7.0347 Å
α = 65.73°, β = 65.73°, γ = 90.00°
With the nearest neighbours (Å) after each atom.
Fractional positions:
O: 0.5000 0.5000 0.0000  4 Hg 2.32
O: 0.2500 0.7500 0.5000  4 Hg 2.32
Hg: 0.5681 0.1250 0.2500  2 O 2.32
Hg: 0.1819 0.6250 0.2500  2 O 2.32
Hg: 0.3750 0.4319 0.7500  2 O 2.32
Hg: 0.8750 0.8181 0.7500  2 O 2.32
Se: 0.0000 0.0000 0.0000  4 Hg 2.70
Se: 0.7500 0.2500 0.5000  4 Hg 2.70

***

Going by the energies, <b> is most stable and the next is 1.0 kJ/mol of atoms up.